A geometry-optimized KNa3Mg structure, computed with PBE.

Cell: 6.1835 6.1835 6.1835 Å, 90.00 90.00 90.00°
Element x y z (fractional)
Na 0.0000 0.5000 0.0000
Na 0.0000 0.0000 0.5000
Na 0.5000 0.0000 0.0000
K 0.5000 0.5000 0.5000
Mg 0.0000 0.0000 0.0000

Properties
The value obtained for the calculated formation energy is 0.19 eV per atom. As for the density of states at the Fermi level: 3.40 states/eV per cell.

=====

A geometry-optimized KNa2Mg structure, computed with PBE.

Cell: 4.1491 4.1491 9.3039 Å, 90.00 90.00 90.00°
Element x y z (fractional)
Na 0.0000 0.0000 0.6878
Na 0.0000 0.0000 0.3122
K 0.5000 0.5000 0.0000
Mg 0.5000 0.5000 0.5000

Properties
The value obtained for the calculated formation energy is 0.11 eV per atom. As for the density of states at the Fermi level: 2.51 states/eV per cell.

=====

A geometry-optimized KNa2Mg structure, computed with PBE.

Cell: 3.8579 3.8579 12.5525 Å, 81.16 81.16 60.00°
Element x y z (fractional)
K 0.5000 0.5000 0.5000
Na 0.0703 0.0703 0.7890
Na 0.2630 0.2630 0.2110
Mg 0.6667 0.6667 0.0000

Properties
The value obtained for the calculated formation energy is 0.16 eV per atom. As for the density of states at the Fermi level: 2.41 states/eV per cell.

=====

A geometry-optimized K2Na16Mg structure, computed with PBE.

Cell: 9.2476 9.2476 9.2476 Å, 81.76 81.76 81.76°
Element x y z (fractional)
K 0.6698 0.6698 0.6698
K 0.3385 0.3385 0.3385
Na 0.7120 0.9983 0.2868
Na 0.9983 0.2868 0.7120
Na 0.2868 0.7120 0.9983
Na 0.9983 0.7120 0.2868
Na 0.7120 0.2868 0.9983
Na 0.2868 0.9983 0.7120
Na 0.3537 0.8462 0.3537
Na 0.8462 0.3537 0.3537
Na 0.3537 0.3537 0.8462
Na 0.6542 0.1351 0.6542
Na 0.1351 0.6542 0.6542
Na 0.6542 0.6542 0.1351
Na 0.9969 0.5087 0.9969
Na 0.5087 0.9969 0.9969
Na 0.9969 0.9969 0.5087
Na 0.0934 0.0934 0.0934
Mg 0.9045 0.9045 0.9045

Properties
The value obtained for the calculated formation energy is 0.04 eV per atom. As for the density of states at the Fermi level: 7.09 states/eV per cell.

=====

A geometry-optimized KNaMg2 structure, computed with PBE.

Cell: 5.6547 5.6547 12.3095 Å, 76.72 76.72 90.00°
Element x y z (fractional)
Na 0.5000 0.5000 0.0000
Na 0.2500 0.7500 0.5000
K 0.0000 0.0000 0.0000
K 0.7500 0.2500 0.5000
Mg 0.4378 0.1250 0.2500
Mg 0.3122 0.6250 0.2500
Mg 0.3750 0.5622 0.7500
Mg 0.8750 0.6878 0.7500

Properties
The value obtained for the calculated formation energy is 0.34 eV per atom. As for the density of states at the Fermi level: 5.85 states/eV per cell.

=====

A geometry-optimized KNa2Mg structure, computed with PBE.

Cell: 5.3574 5.4527 5.4527 Å, 90.00 90.00 90.00°
Element x y z (fractional)
Na 0.0000 0.0000 0.5000
Na 0.0000 0.5000 0.0000
K 0.5000 0.0000 0.0000
Mg 0.5000 0.5000 0.5000

Properties
The value obtained for the calculated formation energy is 0.14 eV per atom. As for the density of states at the Fermi level: 1.83 states/eV per cell.